[1]
Computed, not measured: crystalline Na3NbAg at its relaxed geometry at the GGA-PBEsol level of DFT.

Calculated values
- crystal system = cubic
- Fermi-level density of states (states/eV/f.u.) = 5.447
- formation energy (eV per atom) = 1.19

Lattice parameters (Å, degrees): 5.380 5.380 5.380 90.00 90.00 90.00
Element x y z (fractional)
Na (0.000, 0.000, 0.500)
Na (0.000, 0.500, 0.000)
Na (0.500, 0.000, 0.000)
Nb (0.500, 0.500, 0.500)
Ag (0.000, 0.000, 0.000)


[2]
Computed, not measured: crystalline AlGe3Au at its relaxed geometry at the GGA-PBEsol level of DFT.

Calculated values
- crystal system = cubic
- Fermi-level density of states (states/eV/f.u.) = 2.535
- formation energy (eV per atom) = 0.73

Lattice parameters (Å, degrees): 4.960 4.960 4.960 90.00 90.00 90.00
Element x y z (fractional)
Al (0.000, 0.000, 0.000)
Ge (0.000, 0.500, 0.500)
Ge (0.500, 0.000, 0.500)
Ge (0.500, 0.500, 0.000)
Au (0.500, 0.500, 0.500)


[3]
Computed, not measured: crystalline YVFe11H at its relaxed geometry at the GGA-PBEsol level of DFT.

Calculated values
- crystal system = orthorhombic
- Fermi-level density of states (states/eV/f.u.) = 12.778
- energy (eV per atom) = -8.536

Lattice parameters (Å, degrees): 6.282 6.282 6.282 136.68 97.93 97.73
Element x y z (fractional)
Y (0.000, 0.000, 0.000)
V (0.624, 0.624, 0.000)
Fe (0.218, 0.495, 0.723)
Fe (0.223, 0.723, 0.500)
Fe (0.354, 0.995, 0.359)
Fe (0.357, 0.357, 0.000)
Fe (0.498, 0.497, 0.501)
Fe (0.498, 0.996, 0.001)
Fe (0.636, 0.995, 0.641)
Fe (0.766, 0.266, 0.500)
Fe (0.772, 0.495, 0.277)
Fe (0.996, 0.497, 0.999)
Fe (0.996, 0.996, 0.499)
H (0.997, 0.497, 0.500)


One value per record, in order, for theoretical density: 2.9; 6.0; 7.9 Mg/m³.